No. 1
A plane-wave DFT calculation with GGA-PBE was carried out for crystalline HoTmCdPd at its relaxed geometry.

The value obtained for the density of states at the Fermi level is 0.705 states/eV per atom. The crystal system is tetragonal. The energy of formation comes out at -0.622 eV per atom. Its energy above the lowest structure with this stoichiometry is 0.00 eV/f.u.

It has space group P4mm (No. 99), with a = 3.562 Å, b = 3.562 Å, c = 7.325 Å, α = 90.00°, β = 90.00° and γ = 90.00°. Symmetry generates all atoms from Ho at (0.000, 0.000, 0.000), Tm at (0.000, 0.000, 0.548), Cd at (0.500, 0.500, 0.277) and Pd at (0.500, 0.500, 0.769).


No. 2
A plane-wave DFT calculation with GGA-PBE was carried out for crystalline HoTm2CdPd4 at its relaxed geometry.

The value obtained for the density of states at the Fermi level is 0.624 states/eV per atom. The crystal system is trigonal. The energy of formation comes out at -0.841 eV per atom.

It has space group R-3m (No. 166, hexagonal axes), with a = 4.8402 Å, b = 4.8402 Å, c = 23.7051 Å, α = 90.00°, β = 90.00° and γ = 120.00°. Symmetry generates all atoms from Ho at (0.0000, 0.0000, 0.0000), Tm at (0.0000, 0.0000, 0.2443), Cd at (0.0000, 0.0000, 0.5000), Pd at (0.0000, 0.0000, 0.1215) and Pd at (0.0000, 0.0000, 0.3727).


No. 3
A plane-wave DFT calculation with GGA-PBE was carried out for crystalline HoTmCdPd at its relaxed geometry.

The value obtained for the density of states at the Fermi level is 0.623 states/eV per atom. The crystal system is cubic. The energy of formation comes out at -0.567 eV per atom. Its energy above the lowest structure with this stoichiometry is 0.22 eV/f.u.

It has space group F-43m (No. 216), with a = 7.183 Å, b = 7.183 Å, c = 7.183 Å, α = 90.00°, β = 90.00° and γ = 90.00°. Symmetry generates all atoms from Ho at (0.000, 0.000, 0.000), Tm at (0.000, 0.000, 0.500), Cd at (0.250, 0.250, 0.250) and Pd at (0.250, 0.250, 0.750).


No. 4
A plane-wave DFT calculation with GGA-PBE was carried out for crystalline Ho2Zn2CdPd5 at its relaxed geometry.

The value obtained for the density of states at the Fermi level is 0.305 states/eV per atom. The crystal system is tetragonal. The energy of formation comes out at -0.681 eV per atom.

It has space group P4/mbm (No. 127), with a = 9.704 Å, b = 9.704 Å, c = 3.815 Å, α = 90.00°, β = 90.00° and γ = 90.00°. Symmetry generates all atoms from Ho at (0.177, 0.323, 0.000), Zn at (0.120, 0.620, 0.000), Cd at (0.000, 0.000, 0.000), Pd at (0.000, 0.500, 0.500) and Pd at (0.071, 0.793, 0.500).